[1]
# NdErP2O8

NdErP2O8 after structural relaxation (PBE, Alexandria via LeMat-Bulk).

Cell and atoms, written as CIF:
```
data_NdErP2O8
_cell_length_a 5.2605
_cell_length_b 5.2605
_cell_length_c 7.1109
_cell_angle_alpha 90.00
_cell_angle_beta 90.00
_cell_angle_gamma 120.00
_symmetry_space_group_name_H-M 'P -3 m 1'
_symmetry_Int_Tables_number 164
_symmetry_space_group_name_Hall '-P 3 2"'
loop_
_atom_site_label
_atom_site_fract_x
_atom_site_fract_y
_atom_site_fract_z
Nd1 0.0000 0.0000 0.0000
Er1 0.0000 0.0000 0.5000
P1 0.3333 0.6667 0.7935
O1 0.1731 0.3462 0.7187
O2 0.3333 0.6667 0.0085
```

Results
magnetization: 0.000 μB/atom
crystal system: trigonal
uncorrected formation energy: -2.9111 eV per atom

---

[2]
# ZrHIr2

ZrHIr2 after structural relaxation (PBE, Alexandria via LeMat-Bulk).

Cell and atoms, written as CIF:
```
data_ZrHIr2
_cell_length_a 6.1738
_cell_length_b 6.1738
_cell_length_c 6.1738
_cell_angle_alpha 90.00
_cell_angle_beta 90.00
_cell_angle_gamma 90.00
_symmetry_space_group_name_H-M 'F m -3 m'
_symmetry_Int_Tables_number 225
_symmetry_space_group_name_Hall '-F 4 2 3'
loop_
_atom_site_label
_atom_site_fract_x
_atom_site_fract_y
_atom_site_fract_z
Zr1 0.0000 0.0000 0.0000
H1 0.0000 0.0000 0.5000
Ir1 0.2500 0.2500 0.2500
```

Results
E above lowest polymorph: 432 meV per atom
magnetization: 0.000 μB/atom
crystal system: cubic

---

[3]
# NdBi2Rh

NdBi2Rh after structural relaxation (PBE, Alexandria via LeMat-Bulk).

Cell and atoms, written as CIF:
```
data_NdBi2Rh
_cell_length_a 3.5736
_cell_length_b 3.5736
_cell_length_c 30.9044
_cell_angle_alpha 90.00
_cell_angle_beta 90.00
_cell_angle_gamma 120.00
_symmetry_space_group_name_H-M 'R -3 m'
_symmetry_Int_Tables_number 166
_symmetry_space_group_name_Hall '-R 3 2"'
loop_
_atom_site_label
_atom_site_fract_x
_atom_site_fract_y
_atom_site_fract_z
Nd1 0.0000 0.0000 0.0000
Bi1 0.0000 0.0000 0.1056
Rh1 0.0000 0.0000 0.5000
```

Results
energy of formation from the pure elements: -0.0521 eV/atom
magnetization: 0.000 μB/atom
crystal system: trigonal

---

[4]
# LiSi2PdAu4

LiSi2PdAu4 after structural relaxation (PBE, Alexandria via LeMat-Bulk).

Cell and atoms, written as CIF:
```
data_LiSi2PdAu4
_cell_length_a 4.7431
_cell_length_b 4.7431
_cell_length_c 6.4359
_cell_angle_alpha 90.00
_cell_angle_beta 90.00
_cell_angle_gamma 90.00
_symmetry_space_group_name_H-M 'P 4/m m m'
_symmetry_Int_Tables_number 123
_symmetry_space_group_name_Hall '-P 4 2'
loop_
_atom_site_label
_atom_site_fract_x
_atom_site_fract_y
_atom_site_fract_z
Li1 0.0000 0.0000 0.0000
Si1 0.5000 0.5000 0.3216
Pd1 0.0000 0.0000 0.5000
Au1 0.0000 0.5000 0.2300
```

Results
magnetization: 0.000 μB/atom
crystal system: tetragonal
uncorrected formation energy: -0.1097 eV per atom

---

[5]
# TbCe2Er

TbCe2Er after structural relaxation (PBE, Alexandria via LeMat-Bulk).

Cell and atoms, written as CIF:
```
data_TbCe2Er
_cell_length_a 3.4790
_cell_length_b 3.4790
_cell_length_c 34.4841
_cell_angle_alpha 90.00
_cell_angle_beta 90.00
_cell_angle_gamma 120.00
_symmetry_space_group_name_H-M 'R 3 m'
_symmetry_Int_Tables_number 160
_symmetry_space_group_name_Hall 'R 3 -2"'
loop_
_atom_site_label
_atom_site_fract_x
_atom_site_fract_y
_atom_site_fract_z
Tb1 0.0000 0.0000 0.0000
Ce1 0.0000 0.0000 0.4192
Ce2 0.0000 0.0000 0.5840
Er1 0.0000 0.0000 0.1692
```

Results
energy of formation from the pure elements: 0.0907 eV/atom
E above lowest polymorph: 3 meV per atom
magnetization: 0.361 μB/atom
crystal system: trigonal

---

[6]
# Tb3Pm2Tm2

Tb3Pm2Tm2 after structural relaxation (PBE, Alexandria via LeMat-Bulk).

Cell and atoms, written as CIF:
```
data_Tb3Pm2Tm2
_cell_length_a 17.4893
_cell_length_b 3.5036
_cell_length_c 8.5246
_cell_angle_alpha 90.00
_cell_angle_beta 119.12
_cell_angle_gamma 90.00
_symmetry_space_group_name_H-M 'C 1 2/m 1'
_symmetry_Int_Tables_number 12
_symmetry_space_group_name_Hall '-C 2y'
loop_
_atom_site_label
_atom_site_fract_x
_atom_site_fract_y
_atom_site_fract_z
Tb1 0.0000 0.0000 0.0000
Tb2 0.2116 0.0000 0.1256
Pm1 0.0661 0.5000 0.7198
Tm1 0.1497 0.0000 0.4664
```

Results
energy of formation from the pure elements: 0.1203 eV/atom
E above lowest polymorph: 79 meV per atom
magnetization: 0.000 μB/atom
crystal system: monoclinic

---

[7]
# Na8Bi2Pb

Na8Bi2Pb after structural relaxation (PBE, Alexandria via LeMat-Bulk).

Cell and atoms, written as CIF:
```
data_Na8Bi2Pb
_cell_length_a 16.4118
_cell_length_b 5.3852
_cell_length_c 9.1241
_cell_angle_alpha 90.00
_cell_angle_beta 123.73
_cell_angle_gamma 90.00
_symmetry_space_group_name_H-M 'C 1 2/m 1'
_symmetry_Int_Tables_number 12
_symmetry_space_group_name_Hall '-C 2y'
loop_
_atom_site_label
_atom_site_fract_x
_atom_site_fract_y
_atom_site_fract_z
Na1 0.0007 0.0000 0.3081
Na2 0.1430 0.0000 0.1416
Na3 0.1571 0.5000 0.8643
Na4 0.1583 0.5000 0.4509
Bi1 0.2061 0.0000 0.7068
Pb1 0.0000 0.5000 0.0000
```

Results
energy of formation from the pure elements: -0.2768 eV/atom
magnetization: 0.000 μB/atom
crystal system: monoclinic

---

[8]
# Co2Hg2H

Co2Hg2H after structural relaxation (PBE, Alexandria via LeMat-Bulk).

Cell and atoms, written as CIF:
```
data_Co2Hg2H
_cell_length_a 7.7465
_cell_length_b 7.7465
_cell_length_c 2.8322
_cell_angle_alpha 90.00
_cell_angle_beta 90.00
_cell_angle_gamma 90.00
_symmetry_space_group_name_H-M 'P 4/m b m'
_symmetry_Int_Tables_number 127
_symmetry_space_group_name_Hall '-P 4 2ab'
loop_
_atom_site_label
_atom_site_fract_x
_atom_site_fract_y
_atom_site_fract_z
Co1 0.1000 0.4000 0.0000
Hg1 0.1943 0.6943 0.5000
H1 0.0000 0.0000 0.5000
```

Results
E above lowest polymorph: 179 meV per atom
magnetization: 0.759 μB/atom
crystal system: tetragonal

---

[9]
# RbCdPb2

RbCdPb2 after structural relaxation (PBE, Alexandria via LeMat-Bulk).

Cell and atoms, written as CIF:
```
data_RbCdPb2
_cell_length_a 5.4680
_cell_length_b 5.4680
_cell_length_c 21.9090
_cell_angle_alpha 90.00
_cell_angle_beta 90.00
_cell_angle_gamma 90.00
_symmetry_space_group_name_H-M 'I -4 2 d'
_symmetry_Int_Tables_number 122
_symmetry_space_group_name_Hall 'I -4 2bw'
loop_
_atom_site_label
_atom_site_fract_x
_atom_site_fract_y
_atom_site_fract_z
Rb1 0.0000 0.0000 0.0000
Cd1 0.0000 0.0000 0.5000
Pb1 0.1427 0.2500 0.6250
```

Results
energy of formation from the pure elements: 0.0954 eV/atom
magnetization: 0.000 μB/atom
crystal system: tetragonal

---

[10]
# Zr2ScTaC

Zr2ScTaC after structural relaxation (PBE, Alexandria via LeMat-Bulk).

Cell and atoms, written as CIF:
```
data_Zr2ScTaC
_cell_length_a 4.6792
_cell_length_b 4.6792
_cell_length_c 4.3125
_cell_angle_alpha 90.00
_cell_angle_beta 90.00
_cell_angle_gamma 90.00
_symmetry_space_group_name_H-M 'P 4/m m m'
_symmetry_Int_Tables_number 123
_symmetry_space_group_name_Hall '-P 4 2'
loop_
_atom_site_label
_atom_site_fract_x
_atom_site_fract_y
_atom_site_fract_z
Zr1 0.0000 0.5000 0.0000
Sc1 0.0000 0.0000 0.5000
Ta1 0.5000 0.5000 0.5000
C1 0.5000 0.5000 0.0000
```

Results
energy of formation from the pure elements: -0.2231 eV/atom
magnetization: 0.000 μB/atom
crystal system: tetragonal

---

[11]
# LiPd3I

LiPd3I after structural relaxation (PBE, Alexandria via LeMat-Bulk).

Cell and atoms, written as CIF:
```
data_LiPd3I
_cell_length_a 5.0190
_cell_length_b 5.0190
_cell_length_c 5.0190
_cell_angle_alpha 90.00
_cell_angle_beta 90.00
_cell_angle_gamma 90.00
_symmetry_space_group_name_H-M 'P m -3 m'
_symmetry_Int_Tables_number 221
_symmetry_space_group_name_Hall '-P 4 2 3'
loop_
_atom_site_label
_atom_site_fract_x
_atom_site_fract_y
_atom_site_fract_z
Li1 0.0000 0.0000 0.0000
Pd1 0.0000 0.5000 0.5000
I1 0.5000 0.5000 0.5000
```

Results
E above lowest polymorph: 0 meV per atom
magnetization: 0.000 μB/atom
crystal system: cubic
uncorrected formation energy: 0.2689 eV per atom

---

[12]
# LiBeV

LiBeV after structural relaxation (PBE, Alexandria via LeMat-Bulk).

Cell and atoms, written as CIF:
```
data_LiBeV
_cell_length_a 5.5668
_cell_length_b 5.5668
_cell_length_c 5.5668
_cell_angle_alpha 90.00
_cell_angle_beta 90.00
_cell_angle_gamma 90.00
_symmetry_space_group_name_H-M 'F -4 3 m'
_symmetry_Int_Tables_number 216
_symmetry_space_group_name_Hall 'F -4 2 3'
loop_
_atom_site_label
_atom_site_fract_x
_atom_site_fract_y
_atom_site_fract_z
Li1 0.0000 0.0000 0.0000
Be1 0.0000 0.0000 0.5000
V1 0.2500 0.2500 0.7500
```

Results
energy of formation from the pure elements: 1.2269 eV/atom
E above lowest polymorph: 1086 meV per atom
magnetization: 0.057 μB/atom
crystal system: cubic